Version a
An optimized crystal structure of CdIrBr, computed with GGA-PBE.

Computed properties:
Spin magnetization: 0.00 μB per formula unit
Symmetry: I4mm, No. 107

Cell and atoms, written as POSCAR:
```
CdIrBr
1.0
-1.577 1.577 6.141
1.577 -1.577 6.141
1.577 1.577 -6.141
Cd Ir Br
1 1 1
Direct
0.000 0.000 0.000
0.362 0.362 0.000
0.711 0.711 0.000
```

---

Version b
An optimized crystal structure of CdIrBr, computed with GGA-PBE.

Computed properties:
Spin magnetization: 0.75 μB per formula unit
Symmetry: P3m1, No. 156

Cell and atoms, written as POSCAR:
```
CdIrBr
1.0
3.326 0.000 0.000
-1.663 2.880 0.000
0.000 0.000 6.346
Cd Ir Br
1 1 1
Direct
0.000 0.000 0.000
0.333 0.667 0.314
0.667 0.333 0.620
```

---

Version c
An optimized crystal structure of CdIrBr, computed with GGA-PBE.

Computed properties:
Spin magnetization: 0.00 μB per formula unit
Symmetry: P-6m2, No. 187

Cell and atoms, written as POSCAR:
```
CdIrBr
1.0
4.539 0.000 0.000
-2.270 3.931 0.000
0.000 0.000 3.264
Cd Ir Br
1 1 1
Direct
0.000 0.000 0.000
0.667 0.333 0.500
0.333 0.667 0.500
```

---

Q: Which of them is the most stable? A: version b.

---

Version a
An optimized crystal structure of CdIrBr, computed with GGA-PBE.

Computed properties:
Spin magnetization: 0.00 μB per formula unit
Symmetry: F-43m, No. 216

Cell and atoms, written as POSCAR:
```
CdIrBr
1.0
0.000 3.216 3.216
3.216 0.000 3.216
3.216 3.216 0.000
Cd Ir Br
1 1 1
Direct
0.000 0.000 0.000
0.250 0.250 0.250
0.500 0.500 0.500
```

---

Version b
An optimized crystal structure of CdIrBr, computed with GGA-PBE.

Computed properties:
Spin magnetization: 0.00 μB per formula unit
Symmetry: Fmm2, No. 42

Cell and atoms, written as POSCAR:
```
CdIrBr
1.0
0.000 2.794 7.042
1.528 0.000 7.042
1.528 2.794 0.000
Cd Ir Br
1 1 1
Direct
0.000 0.000 0.000
0.661 0.661 0.339
0.313 0.313 0.687
```

---

Q: Which of them is the most stable? A: version b.